1.
The following is a PBE-GGA calculation of BeMo4Se after structural relaxation, from Alexandria via LeMat-Bulk.

Results
formation energy from raw total energies: 0.748 eV per atom

Lattice parameters (Å, degrees): 5.2314 5.2314 5.2314 60.00 60.00 60.00
With the nearest neighbours (Å) after each atom.
Atoms (fractional coordinates):
Be: 0.0000 0.0000 0.0000  12 Mo 3.07, 4 Se 3.20
Mo: 0.1234 0.6255 0.6255  6 Mo 2.60-2.63
Mo: 0.6255 0.1234 0.6255  6 Mo 2.60-2.63
Mo: 0.6255 0.6255 0.1234  6 Mo 2.60-2.63
Mo: 0.6255 0.6255 0.6255  6 Mo 2.60-2.63
Se: 0.2500 0.2500 0.2500  12 Mo 3.07, 4 Be 3.20


2.
The following is a PBE-GGA calculation of Ce3Tl4HgS8 after structural relaxation, from Alexandria via LeMat-Bulk.

Results
formation energy from raw total energies: -1.113 eV per atom

Lattice parameters (Å, degrees): 8.8706 8.8706 8.8706 55.55 55.55 55.55
With the nearest neighbours (Å) after each atom.
Atoms (fractional coordinates):
Ce: 0.0000 0.5000 0.5000  6 S 2.81-2.82
Ce: 0.5000 0.0000 0.5000  6 S 2.81-2.82
Ce: 0.5000 0.5000 0.0000  6 S 2.81-2.82
Tl: 0.0000 0.0000 0.5000  6 S 3.26-3.28
Tl: 0.0000 0.5000 0.0000  6 S 3.26-3.28
Tl: 0.5000 0.0000 0.0000  6 S 3.26-3.28
Tl: 0.5000 0.5000 0.5000  6 S 3.22
Hg: 0.0000 0.0000 0.0000  6 S 2.88
S: 0.2383 0.2383 0.7273  2 Ce 2.81, 1 Hg 2.88
S: 0.2383 0.7273 0.2383  2 Ce 2.81, 1 Hg 2.88
S: 0.2660 0.2660 0.2660  3 Ce 2.82
S: 0.2727 0.7617 0.7617  2 Ce 2.81, 1 Hg 2.88
S: 0.7273 0.2383 0.2383  2 Ce 2.81, 1 Hg 2.88
S: 0.7340 0.7340 0.7340  3 Ce 2.82
S: 0.7617 0.2727 0.7617  2 Ce 2.81, 1 Hg 2.88
S: 0.7617 0.7617 0.2727  2 Ce 2.81, 1 Hg 2.88


3.
The following is a PBE-GGA calculation of IrPbCl2 after structural relaxation, from Alexandria via LeMat-Bulk.

Results
formation energy from raw total energies: 0.328 eV per atom
energy above the most stable polymorph in this dataset: 1.71 eV per formula unit

Lattice parameters (Å, degrees): 3.2285 4.5480 5.6778 90.00 90.00 90.00
With the nearest neighbours (Å) after each atom.
Atoms (fractional coordinates):
Ir: 0.0000 0.0000 0.0000  4 Cl 2.79
Pb: 0.5000 0.0000 0.5000  4 Cl 2.79
Cl: 0.0000 0.5000 0.5000  4 Pb 2.79
Cl: 0.5000 0.5000 0.0000  4 Ir 2.79


4.
The following is a PBE-GGA calculation of Ac2InNiAg after structural relaxation, from Alexandria via LeMat-Bulk.

Results
energy of formation: -0.3346 eV per atom

Lattice parameters (Å, degrees): 7.8601 4.6253 8.3369 90.00 113.88 90.00
With the nearest neighbours (Å) after each atom.
Atoms (fractional coordinates):
Ac: 0.0318 0.2500 0.2121  3 Ni 3.02-3.16, 1 Ag 3.34
Ac: 0.3437 0.7500 0.6076  3 Ni 3.05-3.07, 2 Ag 3.37
Ac: 0.6563 0.2500 0.3924  3 Ni 3.05-3.07, 2 Ag 3.37
Ac: 0.9682 0.7500 0.7879  3 Ni 3.02-3.16, 1 Ag 3.34
In: 0.3388 0.2500 0.9382  1 Ni 2.79, 3 Ag 3.05-3.07
In: 0.6612 0.7500 0.0618  1 Ni 2.79, 3 Ag 3.05-3.07
Ni: 0.0792 0.2500 0.5902  2 Ni 2.76, 1 In 2.79, 4 Ac 3.02-3.07
Ni: 0.9208 0.7500 0.4098  2 Ni 2.76, 1 In 2.79, 4 Ac 3.02-3.07
Ag: 0.3344 0.7500 0.1748  3 In 3.05-3.07, 3 Ac 3.34-3.37
Ag: 0.6656 0.2500 0.8252  3 In 3.05-3.07, 3 Ac 3.34-3.37


5.
The following is a PBE-GGA calculation of Si3Sb after structural relaxation, from Alexandria via LeMat-Bulk.

Results
formation energy from raw total energies: 0.506 eV per atom
energy above the most stable polymorph in this dataset: 0.67 eV per formula unit

Lattice parameters (Å, degrees): 3.2382 3.2382 6.9124 90.00 90.00 90.00
With the nearest neighbours (Å) after each atom.
Atoms (fractional coordinates):
Si: 0.0000 0.0000 0.0000  8 Si 2.64
Si: 0.5000 0.5000 0.1908  5 Si 2.64
Si: 0.5000 0.5000 0.8092  5 Si 2.64
Sb: 0.0000 0.0000 0.5000  10 Si 3.13-3.46, 4 Sb 3.24


6.
The following is a PBE-GGA calculation of Rb2U2TeSe6 after structural relaxation, from Alexandria via LeMat-Bulk.

Results
formation energy from raw total energies: -0.936 eV per atom

Lattice parameters (Å, degrees): 7.8074 7.8074 8.2914 93.49 93.49 129.49
With the nearest neighbours (Å) after each atom.
Atoms (fractional coordinates):
Rb: 0.1322 0.8678 0.0000  6 Se 3.37-3.60, 1 Rb 3.73
Rb: 0.8678 0.1322 0.0000  6 Se 3.37-3.60, 1 Rb 3.73
U: 0.3431 0.6569 0.5000  6 Se 2.73-2.89
U: 0.6569 0.3431 0.5000  6 Se 2.73-2.89
Te: 0.0000 0.0000 0.5000  2 Se 2.88
Se: 0.0295 0.4816 0.7096  2 U 2.73-2.79
Se: 0.3246 0.3246 0.3045  1 Te 2.88, 2 U 2.89
Se: 0.4816 0.0295 0.7096  2 U 2.73-2.79
Se: 0.5184 0.9705 0.2904  2 U 2.73-2.79
Se: 0.6754 0.6754 0.6955  1 Te 2.88, 2 U 2.89
Se: 0.9705 0.5184 0.2904  2 U 2.73-2.79


7.
The following is a PBE-GGA calculation of YAl2Ir after structural relaxation, from Alexandria via LeMat-Bulk.

Results
energy of formation: -0.1747 eV per atom

Lattice parameters (Å, degrees): 9.0104 9.0104 9.0104 149.62 149.62 43.50
With the nearest neighbours (Å) after each atom.
Atoms (fractional coordinates):
Y: 0.0000 0.0000 0.0000  4 Al 3.13, 4 Ir 3.34
Y: 0.7500 0.2500 0.5000  4 Al 3.13, 4 Ir 3.34
Al: 0.2995 0.6250 0.1745  2 Ir 2.43, 2 Al 2.47
Al: 0.3750 0.5495 0.6745  2 Ir 2.43, 2 Al 2.47
Al: 0.4505 0.1250 0.8255  2 Ir 2.43, 2 Al 2.47
Al: 0.8750 0.7005 0.3255  2 Ir 2.43, 2 Al 2.47
Ir: 0.2500 0.7500 0.5000  4 Al 2.43
Ir: 0.5000 0.5000 0.0000  4 Al 2.43


8.
The following is a PBE-GGA calculation of LaTeRu2 after structural relaxation, from Alexandria via LeMat-Bulk.

Results
formation energy from raw total energies: -0.031 eV per atom
energy above the most stable polymorph in this dataset: 1.19 eV per formula unit

Lattice parameters (Å, degrees): 4.8169 4.8169 4.8169 60.00 60.00 60.00
With the nearest neighbours (Å) after each atom.
Atoms (fractional coordinates):
La: 0.0000 0.0000 0.0000  8 Ru 2.95
Te: 0.5000 0.5000 0.5000  8 Ru 2.95
Ru: 0.2500 0.2500 0.2500  4 Te 2.95, 4 La 2.95
Ru: 0.7500 0.7500 0.7500  4 La 2.95, 4 Te 2.95


9.
The following is a PBE-GGA calculation of NaTi2Ga after structural relaxation, from Alexandria via LeMat-Bulk.

Results
energy of formation: 0.5650 eV per atom

Lattice parameters (Å, degrees): 10.6015 10.6015 10.6015 158.73 158.73 30.25
With the nearest neighbours (Å) after each atom.
Atoms (fractional coordinates):
Na: 0.0000 0.0000 0.0000  4 Ga 2.77, 4 Ti 2.95
Na: 0.7500 0.2500 0.5000  4 Ga 2.77, 4 Ti 2.95
Ti: 0.1528 0.6250 0.0278  4 Ti 2.62-2.92, 2 Ga 2.87
Ti: 0.3750 0.4028 0.5278  4 Ti 2.62-2.92, 2 Ga 2.87
Ti: 0.5972 0.1250 0.9722  4 Ti 2.62-2.92, 2 Ga 2.87
Ti: 0.8750 0.8472 0.4722  4 Ti 2.62-2.92, 2 Ga 2.87
Ga: 0.2500 0.7500 0.5000  4 Na 2.77, 4 Ti 2.87
Ga: 0.5000 0.5000 0.0000  4 Na 2.77, 4 Ti 2.87


10.
The following is a PBE-GGA calculation of Zn2FeBr after structural relaxation, from Alexandria via LeMat-Bulk.

Results
formation energy from raw total energies: 0.426 eV per atom
energy above the most stable polymorph in this dataset: 1.19 eV per formula unit

Lattice parameters (Å, degrees): 3.0158 4.2363 5.7049 90.00 90.00 90.00
With the nearest neighbours (Å) after each atom.
Atoms (fractional coordinates):
Zn: 0.0000 0.0000 0.0000  4 Zn 2.60
Zn: 0.5000 0.5000 0.0000  4 Zn 2.60
Fe: 0.0000 0.5000 0.5000  4 Br 2.60
Br: 0.5000 0.0000 0.5000  4 Fe 2.60


11.
The following is a PBE-GGA calculation of CuRuPt4 after structural relaxation, from Alexandria via LeMat-Bulk.

Results
energy above the most stable polymorph in this dataset: 0.00 eV per formula unit
energy of formation: -0.0727 eV per atom

Lattice parameters (Å, degrees): 2.7728 2.7728 11.5461 90.00 90.00 90.00
With the nearest neighbours (Å) after each atom.
Atoms (fractional coordinates):
Cu: 0.0000 0.0000 0.0000  8 Pt 2.68, 4 Cu 2.77
Ru: 0.5000 0.5000 0.5000  8 Pt 2.72, 4 Ru 2.77
Pt: 0.0000 0.0000 0.3366  4 Ru 2.72, 8 Pt 2.77-2.85
Pt: 0.0000 0.0000 0.6634  4 Ru 2.72, 8 Pt 2.77-2.85
Pt: 0.5000 0.5000 0.1580  4 Cu 2.68, 8 Pt 2.77-2.85
Pt: 0.5000 0.5000 0.8420  4 Cu 2.68, 8 Pt 2.77-2.85


12.
The following is a PBE-GGA calculation of HgBrO2 after structural relaxation, from Alexandria via LeMat-Bulk.

Results
formation energy from raw total energies: 0.362 eV per atom
energy above the most stable polymorph in this dataset: 1.46 eV per formula unit

Lattice parameters (Å, degrees): 4.8754 4.8754 3.2674 90.00 90.00 99.02
With the nearest neighbours (Å) after each atom.
Atoms (fractional coordinates):
Hg: 0.0000 0.0000 0.0000  4 O 2.37
Br: 0.5000 0.5000 0.0000  4 O 2.19
O: 0.2707 0.2707 0.5000  2 Br 2.19, 2 Hg 2.37
O: 0.7293 0.7293 0.5000  2 Br 2.19, 2 Hg 2.37


no.,spin magnetization (μB per cell)
1,0.0
2,2.0
3,0.0
4,0.0
5,0.0
6,2.0
7,0.0
8,1.0
9,0.9
10,2.7
11,0.0
12,0.0